{"formula": "LiPm2Nd", "functional": "PBE", "state": "optimized geometry", "total_magnetization_mub_per_fu": 0.001, "formation_energy_ev_per_atom": 0.067, "vol_a3_per_atom": 31.07, "final_energy_ev_per_atom": -3.98, "lattice": [[3.7136, 0.0000, 0.0000], [0.0000, 3.7136, 0.0000], [0.0000, 0.0000, 9.0128]], "species": ["Li", "Pm", "Pm", "Nd"], "frac_coords": [[0.0000, 0.0000, 0.0000], [0.5000, 0.5000, 0.2216], [0.5000, 0.5000, 0.7784], [0.0000, 0.0000, 0.5000]]}

{"formula": "LiPm2Nd", "functional": "PBE", "state": "optimized geometry", "total_magnetization_mub_per_fu": 0.000, "formation_energy_ev_per_atom": 0.099, "vol_a3_per_atom": 32.30, "final_energy_ev_per_atom": -3.95, "lattice": [[1.8030, 1.0409, 11.4738], [-1.8030, 1.0409, 11.4738], [0.0000, -2.0819, 11.4738]], "species": ["Li", "Pm", "Pm", "Nd"], "frac_coords": [[0.0000, 0.0000, 0.0000], [0.4130, 0.4130, 0.4130], [0.5871, 0.5871, 0.5871], [0.1670, 0.1670, 0.1670]]}

{"formula": "LiPmPrNd", "functional": "PBE", "state": "optimized geometry", "total_magnetization_mub_per_fu": 0.000, "formation_energy_ev_per_atom": 0.178, "vol_a3_per_atom": 32.09, "final_energy_ev_per_atom": -3.88, "lattice": [[0.0000, 4.0036, 4.0036], [4.0036, 0.0000, 4.0036], [4.0036, 4.0036, 0.0000]], "species": ["Li", "Pm", "Pr", "Nd"], "frac_coords": [[0.0000, 0.0000, 0.0000], [0.5000, 0.5000, 0.5000], [0.7500, 0.7500, 0.7500], [0.2500, 0.2500, 0.2500]]}

{"formula": "LiPmNdRh", "functional": "PBE", "state": "optimized geometry", "total_magnetization_mub_per_fu": 0.000, "formation_energy_ev_per_atom": -0.355, "vol_a3_per_atom": 23.24, "final_energy_ev_per_atom": -5.05, "lattice": [[0.0000, 3.5956, 3.5956], [3.5956, 0.0000, 3.5956], [3.5956, 3.5956, 0.0000]], "species": ["Li", "Pm", "Nd", "Rh"], "frac_coords": [[0.0000, 0.0000, 0.0000], [0.7500, 0.7500, 0.7500], [0.2500, 0.2500, 0.2500], [0.5000, 0.5000, 0.5000]]}

{"formula": "LiPmNdRu", "functional": "PBE", "state": "optimized geometry", "total_magnetization_mub_per_fu": 0.000, "formation_energy_ev_per_atom": -0.156, "vol_a3_per_atom": 22.83, "final_energy_ev_per_atom": -5.33, "lattice": [[0.0000, 3.5740, 3.5740], [3.5740, 0.0000, 3.5740], [3.5740, 3.5740, 0.0000]], "species": ["Li", "Pm", "Nd", "Ru"], "frac_coords": [[0.0000, 0.0000, 0.0000], [0.7500, 0.7500, 0.7500], [0.2500, 0.2500, 0.2500], [0.5000, 0.5000, 0.5000]]}

{"formula": "LiPm2Nd3S6", "functional": "PBE", "state": "optimized geometry", "total_magnetization_mub_per_fu": 0.000, "vol_a3_per_atom": 23.01, "final_energy_ev_per_atom": -6.17, "lattice": [[3.4748, -6.0403, 0.0000], [3.4748, 6.0403, 0.0000], [-2.3382, 0.0000, 6.5792]], "species": ["Li", "Pm", "Pm", "Nd", "Nd", "Nd", "S", "S", "S", "S", "S", "S"], "frac_coords": [[0.0000, 0.0000, 0.0000], [0.3343, 0.6657, 0.0000], [0.6657, 0.3343, 0.0000], [0.1661, 0.8339, 0.5000], [0.5000, 0.5000, 0.5000], [0.8339, 0.1661, 0.5000], [0.0802, 0.4048, 0.2418], [0.2427, 0.2427, 0.7606], [0.4048, 0.0802, 0.2418], [0.5952, 0.9198, 0.7582], [0.7573, 0.7573, 0.2394], [0.9198, 0.5952, 0.7582]]}

{"formula": "Li2PmNdS4", "functional": "PBE", "state": "optimized geometry", "total_magnetization_mub_per_fu": 0.000, "vol_a3_per_atom": 22.00, "final_energy_ev_per_atom": -5.52, "lattice": [[6.6321, 0.0000, 0.0000], [0.0000, 4.0466, 0.0000], [-2.4603, 0.0000, 6.5594]], "species": ["Li", "Li", "Pm", "Nd", "S", "S", "S", "S"], "frac_coords": [[0.0000, 0.0000, 0.0000], [0.0000, 0.5000, 0.5000], [0.5000, 0.0000, 0.5000], [0.5000, 0.5000, 0.0000], [0.2436, 0.0000, 0.7464], [0.2443, 0.5000, 0.2500], [0.7564, 0.0000, 0.2536], [0.7557, 0.5000, 0.7500]]}

{"formula": "LiPm4Nd3S8", "functional": "PBE", "state": "optimized geometry", "total_magnetization_mub_per_fu": 0.000, "vol_a3_per_atom": 23.13, "final_energy_ev_per_atom": -6.24, "lattice": [[4.0300, 2.3267, 6.5788], [-4.0300, 2.3267, 6.5788], [0.0000, -4.6535, 6.5788]], "species": ["Li", "Pm", "Pm", "Pm", "Pm", "Nd", "Nd", "Nd", "S", "S", "S", "S", "S", "S", "S", "S"], "frac_coords": [[0.0000, 0.0000, 0.0000], [0.0000, 0.0000, 0.5000], [0.0000, 0.5000, 0.0000], [0.5000, 0.0000, 0.0000], [0.5000, 0.5000, 0.5000], [0.0000, 0.5000, 0.5000], [0.5000, 0.0000, 0.5000], [0.5000, 0.5000, 0.0000], [0.2424, 0.7555, 0.7555], [0.2445, 0.2445, 0.7576], [0.2445, 0.7576, 0.2445], [0.2489, 0.2489, 0.2489], [0.7511, 0.7511, 0.7511], [0.7555, 0.2424, 0.7555], [0.7555, 0.7555, 0.2424], [0.7576, 0.2445, 0.2445]]}

{"formula": "LiPm3Nd4S8", "functional": "PBE", "state": "optimized geometry", "total_magnetization_mub_per_fu": 0.000, "vol_a3_per_atom": 23.18, "final_energy_ev_per_atom": -6.24, "lattice": [[4.0312, 2.3274, 6.5893], [-4.0312, 2.3274, 6.5893], [0.0000, -4.6548, 6.5893]], "species": ["Li", "Pm", "Pm", "Pm", "Nd", "Nd", "Nd", "Nd", "S", "S", "S", "S", "S", "S", "S", "S"], "frac_coords": [[0.0000, 0.0000, 0.0000], [0.0000, 0.5000, 0.5000], [0.5000, 0.0000, 0.5000], [0.5000, 0.5000, 0.0000], [0.0000, 0.0000, 0.5000], [0.0000, 0.5000, 0.0000], [0.5000, 0.0000, 0.0000], [0.5000, 0.5000, 0.5000], [0.2431, 0.2431, 0.7548], [0.2431, 0.7548, 0.2431], [0.2452, 0.7569, 0.7569], [0.2511, 0.2511, 0.2511], [0.7489, 0.7489, 0.7489], [0.7548, 0.2431, 0.2431], [0.7569, 0.2452, 0.7569], [0.7569, 0.7569, 0.2452]]}

{"formula": "LiPmNdS3", "functional": "PBE", "state": "optimized geometry", "total_magnetization_mub_per_fu": 0.000, "vol_a3_per_atom": 22.56, "final_energy_ev_per_atom": -5.79, "lattice": [[8.3114, 0.0000, 0.0000], [0.0000, 3.9009, 0.0000], [-1.7090, 0.0000, 8.3490]], "species": ["Li", "Li", "Pm", "Pm", "Nd", "Nd", "S", "S", "S", "S", "S", "S"], "frac_coords": [[0.0860, 0.2500, 0.0840], [0.9140, 0.7500, 0.9160], [0.3406, 0.7500, 0.3301], [0.6594, 0.2500, 0.6699], [0.1804, 0.2500, 0.7180], [0.8196, 0.7500, 0.2821], [0.0957, 0.2500, 0.3661], [0.2062, 0.7500, 0.9920], [0.4180, 0.7500, 0.6720], [0.5820, 0.2500, 0.3280], [0.7938, 0.2500, 0.0080], [0.9043, 0.7500, 0.6339]]}

{"formula": "Li2Pm2NdSb2", "functional": "PBE", "state": "optimized geometry", "total_magnetization_mub_per_fu": 0.001, "vol_a3_per_atom": 26.08, "final_energy_ev_per_atom": -4.37, "lattice": [[2.3906, 1.3802, 9.2232], [-2.3906, 1.3802, 9.2232], [0.0000, -2.7604, 9.2232]], "species": ["Li", "Li", "Pm", "Pm", "Nd", "Sb", "Sb"], "frac_coords": [[0.0934, 0.0934, 0.0934], [0.9066, 0.9066, 0.9066], [0.3698, 0.3698, 0.3698], [0.6302, 0.6302, 0.6302], [0.5000, 0.5000, 0.5000], [0.2360, 0.2360, 0.2360], [0.7640, 0.7640, 0.7640]]}

{"formula": "Li2PmNd2Sb2", "functional": "PBE", "state": "optimized geometry", "total_magnetization_mub_per_fu": 0.000, "vol_a3_per_atom": 26.20, "final_energy_ev_per_atom": -4.38, "lattice": [[2.3905, 1.3802, 9.2649], [-2.3905, 1.3802, 9.2649], [0.0000, -2.7604, 9.2649]], "species": ["Li", "Li", "Pm", "Nd", "Nd", "Sb", "Sb"], "frac_coords": [[0.0956, 0.0956, 0.0956], [0.9044, 0.9044, 0.9044], [0.5000, 0.5000, 0.5000], [0.3704, 0.3704, 0.3704], [0.6296, 0.6296, 0.6296], [0.2342, 0.2342, 0.2342], [0.7658, 0.7658, 0.7658]]}